[1]
Computed, not measured: crystalline BaPa at its relaxed geometry at the PBE level of DFT.

Lattice parameters (Å, degrees): 6.7384 6.7384 6.7384 90.00 90.00 90.00
Closest atoms and distances in Å follow each position.
Sites, in units of the cell vectors:
Ba1 0.0000 0.0000 0.0000  4 Pa 2.92
Ba2 0.0000 0.5000 0.5000  4 Pa 2.92
Ba3 0.5000 0.0000 0.5000  4 Pa 2.92
Ba4 0.5000 0.5000 0.0000  4 Pa 2.92
Pa1 0.2500 0.2500 0.7500  4 Ba 2.92
Pa2 0.2500 0.7500 0.2500  4 Ba 2.92
Pa3 0.7500 0.2500 0.2500  4 Ba 2.92
Pa4 0.7500 0.7500 0.7500  4 Ba 2.92

Computed properties:
- Crystal system: cubic
- Space group: F-43m (216)
- E above lowest polymorph: 303 kJ/mol of formula units

[2]
Computed, not measured: crystalline YThIr at its relaxed geometry at the PBE level of DFT.

Lattice parameters (Å, degrees): 6.9479 6.9479 6.9479 90.00 90.00 90.00
Closest atoms and distances in Å follow each position.
Sites, in units of the cell vectors:
Y1 0.0000 0.0000 0.0000  4 Ir 3.01
Y2 0.0000 0.5000 0.5000  4 Ir 3.01
Y3 0.5000 0.0000 0.5000  4 Ir 3.01
Y4 0.5000 0.5000 0.0000  4 Ir 3.01
Th1 0.0000 0.0000 0.5000  4 Ir 3.01
Th2 0.0000 0.5000 0.0000  4 Ir 3.01
Th3 0.5000 0.0000 0.0000  4 Ir 3.01
Th4 0.5000 0.5000 0.5000  4 Ir 3.01
Ir1 0.2500 0.2500 0.7500  4 Y 3.01, 4 Th 3.01
Ir2 0.2500 0.7500 0.2500  4 Y 3.01, 4 Th 3.01
Ir3 0.7500 0.2500 0.2500  4 Y 3.01, 4 Th 3.01
Ir4 0.7500 0.7500 0.7500  4 Y 3.01, 4 Th 3.01

Computed properties:
- ΔH_f (0 K): -572 meV per atom
- Crystal system: cubic
- Space group: F-43m (216)
- E above lowest polymorph: 0 kJ/mol of formula units

[3]
Computed, not measured: crystalline CdGaGe at its relaxed geometry at the PBE level of DFT.

Lattice parameters (Å, degrees): 6.5039 6.5039 6.5039 90.00 90.00 90.00
Closest atoms and distances in Å follow each position.
Sites, in units of the cell vectors:
Cd1 0.0000 0.0000 0.0000  4 Ge 2.82, 4 Ga 2.82
Cd2 0.0000 0.5000 0.5000  4 Ge 2.82, 4 Ga 2.82
Cd3 0.5000 0.0000 0.5000  4 Ge 2.82, 4 Ga 2.82
Cd4 0.5000 0.5000 0.0000  4 Ge 2.82, 4 Ga 2.82
Ga1 0.2500 0.2500 0.7500  4 Cd 2.82
Ga2 0.2500 0.7500 0.2500  4 Cd 2.82
Ga3 0.7500 0.2500 0.2500  4 Cd 2.82
Ga4 0.7500 0.7500 0.7500  4 Cd 2.82
Ge1 0.2500 0.2500 0.2500  4 Cd 2.82
Ge2 0.2500 0.7500 0.7500  4 Cd 2.82
Ge3 0.7500 0.2500 0.7500  4 Cd 2.82
Ge4 0.7500 0.7500 0.2500  4 Cd 2.82

Computed properties:
- Crystal system: cubic
- Total DFT energy (no corrections): -31.359 eV for the cell shown
- Space group: F-43m (216)

[4]
Computed, not measured: crystalline PaMoPd at its relaxed geometry at the PBE level of DFT.

Lattice parameters (Å, degrees): 6.3126 6.3126 6.3126 90.00 90.00 90.00
Closest atoms and distances in Å follow each position.
Sites, in units of the cell vectors:
Pa1 0.0000 0.0000 0.0000  4 Mo 2.73
Pa2 0.0000 0.5000 0.5000  4 Mo 2.73
Pa3 0.5000 0.0000 0.5000  4 Mo 2.73
Pa4 0.5000 0.5000 0.0000  4 Mo 2.73
Mo1 0.2500 0.2500 0.2500  4 Pa 2.73, 4 Pd 2.73
Mo2 0.2500 0.7500 0.7500  4 Pa 2.73, 4 Pd 2.73
Mo3 0.7500 0.2500 0.7500  4 Pa 2.73, 4 Pd 2.73
Mo4 0.7500 0.7500 0.2500  4 Pa 2.73, 4 Pd 2.73
Pd1 0.0000 0.0000 0.5000  4 Mo 2.73
Pd2 0.0000 0.5000 0.0000  4 Mo 2.73
Pd3 0.5000 0.0000 0.0000  4 Mo 2.73
Pd4 0.5000 0.5000 0.5000  4 Mo 2.73

Computed properties:
- ΔH_f (0 K): 297 meV per atom
- Crystal system: cubic
- Space group: F-43m (216)
- E above lowest polymorph: 0 kJ/mol of formula units

- What is the formula in the third record?
  CdGaGe